ZrCrTc2Ru | PBEsol | relaxed

a b c (Å): 4.279 4.279 4.595
angles (deg): 90.00 90.00 90.00
Sites, in units of the cell vectors:
Ru  0.500  0.500  0.500
Tc  0.000  0.500  0.000
Tc  0.500  0.000  0.000
Zr  0.000  0.000  0.500
Cr  0.000  0.000  0.000

Properties
E_form = 1.0992 eV per atom
Space group = No. 123
Electronic total energy = -9.308 eV/atom